VASP calculation (PBE) on a geometry-optimized Ce2LuTi structure.

a b c (Å): 3.236 3.236 9.680
angles (deg): 90.00 90.00 90.00
Positions (direct):
Lu 0.500 0.500 0.500
Ce 0.000 0.000 0.772
Ce 0.000 0.000 0.228
Ti 0.500 0.500 0.000

Space group: P4/mmm
Crystal system: tetragonal

---

VASP calculation (PBE) on a geometry-optimized CeLu2Ti structure.

a b c (Å): 4.790 4.635 4.635
angles (deg): 90.00 90.00 90.00
Positions (direct):
Lu 0.000 0.000 0.500
Lu 0.000 0.500 0.000
Ce 0.500 0.000 0.000
Ti 0.500 0.500 0.500

Space group: P4/mmm
Crystal system: tetragonal

---

VASP calculation (PBE) on a geometry-optimized Ce2LuTi structure.

a b c (Å): 5.312 5.312 5.312
angles (deg): 60.00 60.00 60.00
Positions (direct):
Lu 0.000 0.000 0.000
Ce 0.250 0.250 0.250
Ce 0.750 0.750 0.750
Ti 0.500 0.500 0.500

Space group: Fm-3m
Crystal system: cubic

---

Values of polymorph energy (0 for the lowest one), in order: 0; 13; 105, all in meV/atom.
Values of total magnetic moment, in order: 0.12; 0.00; 2.12, all in μB/cell.
Values of energy of formation from the pure elements, in order: 3.99; 4.07; 6.41, all in kcal/mol of atoms.